Computed, not measured: a relaxed EuGa2Ag crystal at the GGA-PBE level of DFT.

abc: 3.4527 3.4527 7.1872
angles: 90.00 90.00 90.00
Last column: nearest neighbours and their distance in Å.
Fractional coordinates of all 4 atoms:
Eu (0.0000, 0.0000, 0.0000)  8 Ga 3.25, 4 Eu 3.45, 2 Ag 3.59
Ga (0.5000, 0.5000, 0.2981)  4 Ag 2.84, 1 Ga 2.90
Ga (0.5000, 0.5000, 0.7019)  4 Ag 2.84, 1 Ga 2.90
Ag (0.0000, 0.0000, 0.5000)  8 Ga 2.84

Output
- Formation energy from the elements: -0.25 eV/atom
- Space group: No. 123
- Total DFT energy (no corrections): -20.19 eV/f.u.
- Crystal system: tetragonal
- Magnetic moment: 7.10 μB per formula unit